1.
First-principles (PBE) data for ScTa2Pb after structural relaxation, as listed in Alexandria via LeMat-Bulk.

Output
Crystal system: orthorhombic
Space-group type: No. 47
Final energy (eV per atom): -8.073

```
data_ScTa2Pb
_chemical_formula_sum 'Sc1 Ta2 Pb1'
_space_group_name_H-M_alt 'P 1'
_space_group_IT_number 1
_cell_length_a 3.041
_cell_length_b 4.711
_cell_length_c 5.893
_cell_angle_alpha 90.00
_cell_angle_beta 90.00
_cell_angle_gamma 90.00
loop_
_space_group_symop_operation_xyz
'x,y,z'
loop_
_atom_site_label
_atom_site_fract_x
_atom_site_fract_y
_atom_site_fract_z
Pb1 0.500 0.500 0.250
Sc1 0.500 0.500 0.750
Ta1 0.000 0.000 0.981
Ta2 0.000 0.000 0.519
```


2.
First-principles (PBE) data for MnPbW4 after structural relaxation, as listed in Alexandria via LeMat-Bulk.

Output
Crystal system: cubic
Space-group type: No. 216
Final energy (eV per atom): -10.006

```
data_MnPbW4
_chemical_formula_sum 'Mn1 Pb1 W4'
_space_group_name_H-M_alt 'P 1'
_space_group_IT_number 1
_cell_length_a 5.366
_cell_length_b 5.366
_cell_length_c 5.366
_cell_angle_alpha 60.00
_cell_angle_beta 60.00
_cell_angle_gamma 60.00
loop_
_space_group_symop_operation_xyz
'x,y,z'
loop_
_atom_site_label
_atom_site_fract_x
_atom_site_fract_y
_atom_site_fract_z
Mn1 0.750 0.750 0.750
Pb1 0.000 0.000 0.000
W1 0.874 0.375 0.375
W2 0.375 0.375 0.874
W3 0.375 0.874 0.375
W4 0.375 0.375 0.375
```


3.
First-principles (PBE) data for HoErAlGa after structural relaxation, as listed in Alexandria via LeMat-Bulk.

Output
Crystal system: orthorhombic
Relative energy among the computed polymorphs (meV/atom): 0
Space-group type: No. 38
Final energy (eV per atom): -4.486

```
data_HoErAlGa
_chemical_formula_sum 'Ho1 Er1 Al1 Ga1'
_space_group_name_H-M_alt 'P 1'
_space_group_IT_number 1
_cell_length_a 4.380
_cell_length_b 4.039
_cell_length_c 5.884
_cell_angle_alpha 90.00
_cell_angle_beta 111.85
_cell_angle_gamma 90.00
loop_
_space_group_symop_operation_xyz
'x,y,z'
loop_
_atom_site_label
_atom_site_fract_x
_atom_site_fract_y
_atom_site_fract_z
Ho1 0.139 0.000 0.277
Er1 0.858 0.500 0.716
Al1 0.426 0.000 0.852
Ga1 0.577 0.500 0.155
```


4.
First-principles (PBE) data for NaHo2Cu after structural relaxation, as listed in Alexandria via LeMat-Bulk.

Output
Crystal system: tetragonal
Relative energy among the computed polymorphs (meV/atom): 0
Space-group type: No. 123
Final energy (eV per atom): -3.627

```
data_NaHo2Cu
_chemical_formula_sum 'Na1 Ho2 Cu1'
_space_group_name_H-M_alt 'P 1'
_space_group_IT_number 1
_cell_length_a 3.420
_cell_length_b 3.420
_cell_length_c 9.406
_cell_angle_alpha 90.00
_cell_angle_beta 90.00
_cell_angle_gamma 90.00
loop_
_space_group_symop_operation_xyz
'x,y,z'
loop_
_atom_site_label
_atom_site_fract_x
_atom_site_fract_y
_atom_site_fract_z
Na1 0.500 0.500 0.500
Ho1 0.000 0.000 0.821
Ho2 0.000 0.000 0.179
Cu1 0.500 0.500 0.000
```


5.
First-principles (PBE) data for HfMgNi2 after structural relaxation, as listed in Alexandria via LeMat-Bulk.

Output
Crystal system: tetragonal
Space-group type: No. 123
Final energy (eV per atom): -6.133

```
data_HfMgNi2
_chemical_formula_sum 'Hf1 Mg1 Ni2'
_space_group_name_H-M_alt 'P 1'
_space_group_IT_number 1
_cell_length_a 3.158
_cell_length_b 3.158
_cell_length_c 6.229
_cell_angle_alpha 90.00
_cell_angle_beta 90.00
_cell_angle_gamma 90.00
loop_
_space_group_symop_operation_xyz
'x,y,z'
loop_
_atom_site_label
_atom_site_fract_x
_atom_site_fract_y
_atom_site_fract_z
Ni1 0.000 0.000 0.765
Ni2 0.000 0.000 0.235
Mg1 0.500 0.500 0.500
Hf1 0.500 0.500 0.000
```


6.
First-principles (PBE) data for BaLa3Ru after structural relaxation, as listed in Alexandria via LeMat-Bulk.

Output
Crystal system: monoclinic
Relative energy among the computed polymorphs (meV/atom): 13
Space-group type: No. 15
Final energy (eV per atom): -5.330

```
data_BaLa3Ru
_chemical_formula_sum 'Ba4 La12 Ru4'
_space_group_name_H-M_alt 'P 1'
_space_group_IT_number 1
_cell_length_a 15.096
_cell_length_b 10.549
_cell_length_c 10.549
_cell_angle_alpha 78.95
_cell_angle_beta 123.99
_cell_angle_gamma 56.01
loop_
_space_group_symop_operation_xyz
'x,y,z'
loop_
_atom_site_label
_atom_site_fract_x
_atom_site_fract_y
_atom_site_fract_z
Ru1 0.750 0.180 0.680
Ru2 0.250 0.820 0.320
Ru3 0.750 0.459 0.959
Ru4 0.250 0.541 0.041
Ba1 0.089 0.467 0.395
Ba2 0.411 0.895 0.967
Ba3 0.911 0.533 0.605
Ba4 0.589 0.105 0.033
La1 0.419 0.400 0.468
La2 0.081 0.968 0.900
La3 0.581 0.600 0.532
La4 0.919 0.032 0.100
La5 0.090 0.213 0.160
La6 0.410 0.660 0.713
La7 0.910 0.787 0.840
La8 0.590 0.340 0.287
La9 0.595 0.838 0.774
La10 0.905 0.274 0.338
La11 0.405 0.162 0.226
La12 0.095 0.726 0.662
```


7.
First-principles (PBE) data for NaPrSbRh after structural relaxation, as listed in Alexandria via LeMat-Bulk.

Output
Energy relative to the elements, uncorrected (eV per atom): -0.58
Crystal system: cubic
Space-group type: No. 216
Final energy (eV per atom): -4.975

```
data_NaPrSbRh
_chemical_formula_sum 'Na1 Pr1 Sb1 Rh1'
_space_group_name_H-M_alt 'P 1'
_space_group_IT_number 1
_cell_length_a 4.937
_cell_length_b 4.937
_cell_length_c 4.937
_cell_angle_alpha 60.00
_cell_angle_beta 60.00
_cell_angle_gamma 60.00
loop_
_space_group_symop_operation_xyz
'x,y,z'
loop_
_atom_site_label
_atom_site_fract_x
_atom_site_fract_y
_atom_site_fract_z
Pr1 0.500 0.500 0.500
Sb1 0.000 0.000 0.000
Rh1 0.250 0.250 0.250
Na1 0.750 0.750 0.750
```


8.
First-principles (PBE) data for Tl2FeSb after structural relaxation, as listed in Alexandria via LeMat-Bulk.

Output
Energy relative to the elements, uncorrected (eV per atom): 0.32
Crystal system: orthorhombic
Relative energy among the computed polymorphs (meV/atom): 72
Space-group type: No. 44
Final energy (eV per atom): -4.009

```
data_Tl2FeSb
_chemical_formula_sum 'Tl2 Fe1 Sb1'
_space_group_name_H-M_alt 'P 1'
_space_group_IT_number 1
_cell_length_a 7.292
_cell_length_b 7.292
_cell_length_c 7.292
_cell_angle_alpha 154.68
_cell_angle_beta 142.21
_cell_angle_gamma 46.04
loop_
_space_group_symop_operation_xyz
'x,y,z'
loop_
_atom_site_label
_atom_site_fract_x
_atom_site_fract_y
_atom_site_fract_z
Fe1 0.482 0.482 0.000
Sb1 0.329 0.829 0.500
Tl1 0.005 0.005 0.000
Tl2 0.684 0.184 0.500
```


9.
First-principles (PBE) data for HfNbCl2 after structural relaxation, as listed in Alexandria via LeMat-Bulk.

Output
Energy relative to the elements, uncorrected (eV per atom): 0.26
Crystal system: cubic
Relative energy among the computed polymorphs (meV/atom): 736
Space-group type: No. 225
Final energy (eV per atom): -5.669

```
data_HfNbCl2
_chemical_formula_sum 'Hf1 Nb1 Cl2'
_space_group_name_H-M_alt 'P 1'
_space_group_IT_number 1
_cell_length_a 4.598
_cell_length_b 4.598
_cell_length_c 4.598
_cell_angle_alpha 60.00
_cell_angle_beta 60.00
_cell_angle_gamma 60.00
loop_
_space_group_symop_operation_xyz
'x,y,z'
loop_
_atom_site_label
_atom_site_fract_x
_atom_site_fract_y
_atom_site_fract_z
Nb1 0.000 0.000 0.000
Hf1 0.500 0.500 0.500
Cl1 0.250 0.250 0.250
Cl2 0.750 0.750 0.750
```


10.
First-principles (PBE) data for YTi3Ge2 after structural relaxation, as listed in Alexandria via LeMat-Bulk.

Output
Crystal system: monoclinic
Space-group type: No. 12
Final energy (eV per atom): -7.098

```
data_YTi3Ge2
_chemical_formula_sum 'Y2 Ti6 Ge4'
_space_group_name_H-M_alt 'P 1'
_space_group_IT_number 1
_cell_length_a 3.972
_cell_length_b 8.302
_cell_length_c 8.207
_cell_angle_alpha 116.97
_cell_angle_beta 90.00
_cell_angle_gamma 103.84
loop_
_space_group_symop_operation_xyz
'x,y,z'
loop_
_atom_site_label
_atom_site_fract_x
_atom_site_fract_y
_atom_site_fract_z
Y1 0.860 0.721 0.931
Y2 0.140 0.279 0.069
Ti1 0.314 0.629 0.533
Ti2 0.948 0.896 0.601
Ti3 0.590 0.179 0.675
Ti4 0.410 0.821 0.325
Ti5 0.052 0.104 0.399
Ti6 0.686 0.371 0.467
Ge1 0.482 0.965 0.837
Ge2 0.518 0.035 0.163
Ge3 0.790 0.580 0.277
Ge4 0.210 0.420 0.723
```